[1]
Here is a relaxed structure of La2Sm2Th15 from Alexandria. Energies are from GGA-PBE.

Cell: 11.5581 11.5581 17.1756 Å, 90.00 90.00 120.00°
Space group R-3m (No. 166, hexagonal axes)
Asymmetric unit:
La 0.0000 0.0000 0.1059 [6 per cell]
Sm 0.0000 0.0000 0.3606 [6 per cell]
Th 0.0000 0.3168 0.0000 [18 per cell]
Th 0.0000 0.5000 0.5000 [9 per cell]
Th 0.0130 0.5065 0.1671 [18 per cell]

## Properties
Total moment, μB/f.u.: 0.00
DOS(E_F), states/eV per cell: 107.76
Formation energy, eV/atom: 0.271

---

[2]
Here is a relaxed structure of La2Sm8Th3 from Alexandria. Energies are from GGA-PBE.

Cell: 10.271 10.904 8.775 Å, 90.00 113.14 90.00°
Space group C2/m (No. 12)
Asymmetric unit:
La 0.225 0.000 0.027 [4 per cell]
Sm 0.093 0.500 0.216 [4 per cell]
Sm 0.100 0.000 0.356 [4 per cell]
Sm 0.161 0.240 0.682 [8 per cell]
Th 0.000 0.234 0.000 [4 per cell]
Th 0.000 0.500 0.500 [2 per cell]

## Properties
Total moment, μB/f.u.: 0.00
DOS(E_F), states/eV per cell: 41.37
Formation energy, eV/atom: 0.241

---

[3]
Here is a relaxed structure of La8SmTh2 from Alexandria. Energies are from GGA-PBE.

Cell: 5.832 8.285 16.410 Å, 90.00 90.00 90.00°
Space group Immm (No. 71)
Asymmetric unit:
La 0.000 0.000 0.161 [4 per cell]
La 0.000 0.204 0.362 [8 per cell]
La 0.000 0.296 0.000 [4 per cell]
Sm 0.000 0.500 0.500 [2 per cell]
Th 0.000 0.500 0.198 [4 per cell]

## Properties
Total moment, μB/f.u.: 0.00
DOS(E_F), states/eV per cell: 38.02
Formation energy, eV/atom: 0.133

---

[4]
Here is a relaxed structure of La5SmTh2 from Alexandria. Energies are from GGA-PBE.

Cell: 3.620 8.960 17.869 Å, 90.00 100.56 90.00°
Space group P2/c (No. 13)
Asymmetric unit:
La 0.000 0.033 0.250 [2 per cell]
La 0.154 0.341 0.359 [4 per cell]
La 0.195 0.315 0.952 [4 per cell]
Sm 0.500 0.319 0.750 [2 per cell]
Th 0.329 0.008 0.084 [4 per cell]

## Properties
Total moment, μB/f.u.: 0.00
DOS(E_F), states/eV per cell: 27.15
Formation energy, eV/atom: 0.118

---

[5]
Here is a relaxed structure of La2Sm3Th4 from Alexandria. Energies are from GGA-PBE.

Cell: 18.911 3.629 9.852 Å, 90.00 115.45 90.00°
Space group C2/m (No. 12)
Asymmetric unit:
La 0.164 0.000 0.003 [4 per cell]
Sm 0.000 0.500 0.000 [2 per cell]
Sm 0.146 0.500 0.665 [4 per cell]
Th 0.025 0.000 0.338 [4 per cell]
Th 0.184 0.500 0.341 [4 per cell]

## Properties
Total moment, μB/f.u.: 0.00
DOS(E_F), states/eV per cell: 30.37
Formation energy, eV/atom: 0.070

---

[6]
Here is a relaxed structure of La5Sm2Th from Alexandria. Energies are from GGA-PBE.

Cell: 7.366 14.722 5.206 Å, 90.00 90.00 90.00°
Space group Pbam (No. 55)
Asymmetric unit:
La 0.000 0.000 0.000 [2 per cell]
La 0.008 0.253 0.000 [4 per cell]
La 0.246 0.378 0.500 [4 per cell]
Sm 0.238 0.620 0.500 [4 per cell]
Th 0.000 0.500 0.000 [2 per cell]

## Properties
Total moment, μB/f.u.: 0.00
DOS(E_F), states/eV per cell: 22.97
Formation energy, eV/atom: 0.024